Material: TiAl2Ga2
Method: DFT, PBE-GGA
State: relaxed

Energy of formation from the pure elements ... -0.3 eV per formula unit
DFT total energy ... -4.337 eV per atom

Cell: 7.095 7.095 3.368 Å, 90.00 90.00 90.00°
Space group P4/mbm (No. 127)
Inequivalent atoms, fractional coordinates:
Ti 0.000 0.000 0.000
Al 0.162 0.338 0.500
Ga 0.138 0.638 0.000